# 1
First-principles (PBE-GGA) data for crystalline AcIn2SnRh4 at its relaxed geometry, as listed in the Alexandria database.

Geometry as CIF:
```
data_AcIn2SnRh4
_space_group_name_H-M_alt 'P 1'
_space_group_IT_number 1
_space_group_name_Hall 'P 1'
_cell_length_a 9.3727
_cell_length_b 9.3727
_cell_length_c 9.3727
_cell_angle_alpha 28.00
_cell_angle_beta 28.00
_cell_angle_gamma 28.00
loop_
_atom_site_label
_atom_site_type_symbol
_atom_site_fract_x
_atom_site_fract_y
_atom_site_fract_z
_atom_site_occupancy
Ac1 Ac 0.0000 0.0000 0.0000 1
In1 In 0.2416 0.2416 0.2416 1
In2 In 0.7584 0.7584 0.7584 1
Sn1 Sn 0.5000 0.5000 0.5000 1
Rh1 Rh 0.1332 0.1332 0.1332 1
Rh2 Rh 0.4025 0.4025 0.4025 1
Rh3 Rh 0.5975 0.5975 0.5975 1
Rh4 Rh 0.8668 0.8668 0.8668 1
```

Output
spin magnetization	0.000	μB/f.u.
DFT formation energy	-0.500	eV per atom
space group	R-3m

# 2
First-principles (PBE-GGA) data for crystalline AcZn2In2Ag at its relaxed geometry, as listed in the Alexandria database.

Geometry as CIF:
```
data_AcZn2In2Ag
_space_group_name_H-M_alt 'P 1'
_space_group_IT_number 1
_space_group_name_Hall 'P 1'
_cell_length_a 6.9043
_cell_length_b 6.9043
_cell_length_c 6.9043
_cell_angle_alpha 134.83
_cell_angle_beta 134.83
_cell_angle_gamma 65.80
loop_
_atom_site_label
_atom_site_type_symbol
_atom_site_fract_x
_atom_site_fract_y
_atom_site_fract_z
_atom_site_occupancy
Ac1 Ac 0.0000 0.0000 0.0000 1
Zn1 Zn 0.2860 0.2860 0.0000 1
Zn2 Zn 0.7140 0.7140 0.0000 1
In1 In 0.2500 0.7500 0.5000 1
In2 In 0.7500 0.2500 0.5000 1
Ag1 Ag 0.5000 0.5000 0.0000 1
```

Output
spin magnetization	0.000	μB/f.u.
DFT formation energy	0.046	eV per atom
space group	I4/mmm

# 3
First-principles (PBE-GGA) data for crystalline SnSe2BrCl at its relaxed geometry, as listed in the Alexandria database.

Geometry as CIF:
```
data_SnSe2BrCl
_space_group_name_H-M_alt 'P 1'
_space_group_IT_number 1
_space_group_name_Hall 'P 1'
_cell_length_a 5.1672
_cell_length_b 5.1672
_cell_length_c 5.1106
_cell_angle_alpha 90.00
_cell_angle_beta 90.00
_cell_angle_gamma 90.00
loop_
_atom_site_label
_atom_site_type_symbol
_atom_site_fract_x
_atom_site_fract_y
_atom_site_fract_z
_atom_site_occupancy
Sn1 Sn 0.0000 0.0000 0.0000 1
Se1 Se 0.0000 0.5000 0.5000 1
Se2 Se 0.5000 0.0000 0.5000 1
Br1 Br 0.5000 0.5000 0.0000 1
Cl1 Cl 0.5000 0.5000 0.5000 1
```

Output
spin magnetization	0.735	μB/f.u.
offset from the most stable computed form	0.150	eV/atom
space group	P4/mmm

Number 1: N(E_F) 4.3 states/eV per cell. Number 2: N(E_F) 3.7 states/eV per cell. Number 3: N(E_F) 2.8 states/eV per cell.